## P
LiPu2Pt2: optimized geometry, PBE.

The structure in POSCAR format:
```
LiPu2Pt2
1.0
7.575 0.000 0.000
0.000 7.575 0.000
0.000 0.000 3.842
Li Pu Pt
2 4 4
Direct
0.000 0.000 0.000
0.500 0.500 0.000
0.162 0.338 0.500
0.338 0.838 0.500
0.662 0.162 0.500
0.838 0.662 0.500
0.141 0.641 0.000
0.359 0.141 0.000
0.641 0.859 0.000
0.859 0.359 0.000
```

Calculated values
* calculated volume: 110.2 Å³/f.u.
* crystal system: tetragonal
* space-group type: P4/mbm

---

## Q
LiPu2Pt2: optimized geometry, PBE.

The structure in POSCAR format:
```
LiPu2Pt2
1.0
-4.272 4.787 2.171
4.272 -4.787 2.171
4.272 4.787 -2.171
Li Pu Pt
2 4 4
Direct
0.250 0.250 0.000
0.750 0.750 0.000
0.056 0.635 0.691
0.444 0.135 0.579
0.556 0.865 0.421
0.944 0.365 0.309
0.235 0.881 0.116
0.265 0.381 0.645
0.735 0.619 0.355
0.765 0.119 0.884
```

Calculated values
* calculated volume: 88.8 Å³/f.u.
* crystal system: orthorhombic
* space-group type: Ibam

---

P is favored, and the nearest alternative lies 0.599 eV/atom above it.

---

## P
RbLi3Pt: optimized geometry, PBE.

The structure in POSCAR format:
```
RbLi3Pt
1.0
5.053 0.000 0.000
0.000 5.053 0.000
0.000 0.000 5.053
Rb Li Pt
1 3 1
Direct
0.000 0.000 0.000
0.000 0.500 0.500
0.500 0.000 0.500
0.500 0.500 0.000
0.500 0.500 0.500
```

Calculated values
* calculated volume: 129.1 Å³/f.u.
* crystal system: cubic
* space-group type: Pm-3m

---

## Q
RbLi3Pt: optimized geometry, PBE.

The structure in POSCAR format:
```
RbLi3Pt
1.0
4.693 0.000 0.000
0.000 4.693 0.000
0.000 0.000 4.693
Rb Li Pt
1 3 1
Direct
0.000 0.000 0.000
0.000 0.000 0.500
0.000 0.500 0.000
0.500 0.000 0.000
0.500 0.500 0.500
```

Calculated values
* calculated volume: 103.4 Å³/f.u.
* crystal system: cubic
* space-group type: Pm-3m

---

P is favored, and the nearest alternative lies 1.062 eV/atom above it.